Crystalline MgTc2Mo at its relaxed geometry. Source: Alexandria, functional PBE-GGA.

```
data_MgTc2Mo
_cell_length_a 2.689
_cell_length_b 4.386
_cell_length_c 5.290
_cell_angle_alpha 90.00
_cell_angle_beta 98.96
_cell_angle_gamma 90.00
_symmetry_space_group_name_H-M 'P 1 2/m 1'
_symmetry_Int_Tables_number 10
loop_
_symmetry_equiv_pos_as_xyz
'x,y,z'
'-x,-y,-z'
'-x,y,-z'
'x,-y,z'
loop_
_atom_site_label
_atom_site_fract_x
_atom_site_fract_y
_atom_site_fract_z
Mg1 0.000 0.000 0.000
Tc1 0.295 0.500 0.755
Mo1 0.500 0.000 0.500
```

## Properties
- E_tot (eV for the cell shown) = -32.54
- theoretical density (g/cm³) = 8.52
- energy relative to the elements (meV/atom) = 153